DFT (PBE) results for a geometry-optimized DyLuMgTi structure.

Geometry as CIF:
```
data_DyLuMgTi
_chemical_formula_sum 'Dy4 Lu4 Mg4 Ti4'
_cell_length_a 7.368
_cell_length_b 7.368
_cell_length_c 7.368
_cell_angle_alpha 90.00
_cell_angle_beta 90.00
_cell_angle_gamma 90.00
_symmetry_space_group_name_H-M 'F -4 3 m'
_symmetry_Int_Tables_number 216
_symmetry_space_group_name_Hall 'F -4 2 3'
loop_
_atom_site_label
_atom_site_type_symbol
_atom_site_fract_x
_atom_site_fract_y
_atom_site_fract_z
Dy1 Dy 0.000 0.000 0.000
Lu1 Lu 0.000 0.000 0.500
Mg1 Mg 0.250 0.250 0.750
Ti1 Ti 0.250 0.250 0.250
```

Values from the calculation:
Formation energy   149 meV/atom
N(E_F)   1.891 states/eV/atom
E_tot   -4.504 eV/atom

***

DFT (PBE) results for a geometry-optimized GdHg4Bi structure.

Geometry as CIF:
```
data_GdHg4Bi
_chemical_formula_sum 'Gd4 Hg16 Bi4'
_cell_length_a 8.605
_cell_length_b 8.605
_cell_length_c 8.605
_cell_angle_alpha 90.00
_cell_angle_beta 90.00
_cell_angle_gamma 90.00
_symmetry_space_group_name_H-M 'F -4 3 m'
_symmetry_Int_Tables_number 216
_symmetry_space_group_name_Hall 'F -4 2 3'
loop_
_atom_site_label
_atom_site_type_symbol
_atom_site_fract_x
_atom_site_fract_y
_atom_site_fract_z
Gd1 Gd 0.000 0.000 0.000
Hg1 Hg 0.125 0.125 0.375
Bi1 Bi 0.250 0.250 0.750
```

Values from the calculation:
Formation energy   -98 meV/atom
N(E_F)   0.873 states/eV/atom
E_tot   -3.293 eV/atom

***

DFT (PBE) results for a geometry-optimized PmSmErZn structure.

Geometry as CIF:
```
data_PmSmErZn
_chemical_formula_sum 'Pm4 Sm4 Er4 Zn4'
_cell_length_a 7.633
_cell_length_b 7.633
_cell_length_c 7.633
_cell_angle_alpha 90.00
_cell_angle_beta 90.00
_cell_angle_gamma 90.00
_symmetry_space_group_name_H-M 'F -4 3 m'
_symmetry_Int_Tables_number 216
_symmetry_space_group_name_Hall 'F -4 2 3'
loop_
_atom_site_label
_atom_site_type_symbol
_atom_site_fract_x
_atom_site_fract_y
_atom_site_fract_z
Pm1 Pm 0.000 0.000 0.000
Sm1 Sm 0.000 0.000 0.500
Er1 Er 0.250 0.250 0.750
Zn1 Zn 0.250 0.250 0.250
```

Values from the calculation:
Formation energy   24 meV/atom
ΔE to the lowest computed polymorph   70 kJ/mol of formula units
N(E_F)   1.222 states/eV/atom
E_tot   -3.803 eV/atom

***

DFT (PBE) results for a geometry-optimized UPa3Rh12 structure.

Geometry as CIF:
```
data_UPa3Rh12
_chemical_formula_sum 'U1 Pa3 Rh12'
_cell_length_a 4.051
_cell_length_b 4.051
_cell_length_c 16.176
_cell_angle_alpha 90.00
_cell_angle_beta 90.00
_cell_angle_gamma 90.00
_symmetry_space_group_name_H-M 'P 4/m m m'
_symmetry_Int_Tables_number 123
_symmetry_space_group_name_Hall '-P 4 2'
loop_
_atom_site_label
_atom_site_type_symbol
_atom_site_fract_x
_atom_site_fract_y
_atom_site_fract_z
U1 U 0.000 0.000 0.000
Pa1 Pa 0.000 0.000 0.250
Pa2 Pa 0.000 0.000 0.500
Rh1 Rh 0.000 0.500 0.121
Rh2 Rh 0.000 0.500 0.374
Rh3 Rh 0.500 0.500 0.000
Rh4 Rh 0.500 0.500 0.248
Rh5 Rh 0.500 0.500 0.500
```

Values from the calculation:
Formation energy   -842 meV/atom
N(E_F)   0.823 states/eV/atom
E_tot   -8.841 eV/atom

***

DFT (PBE) results for a geometry-optimized PaAl3O8 structure.

Geometry as CIF:
```
data_PaAl3O8
_chemical_formula_sum 'Pa2 Al6 O16'
_cell_length_a 11.916
_cell_length_b 3.656
_cell_length_c 6.524
_cell_angle_alpha 90.00
_cell_angle_beta 93.84
_cell_angle_gamma 90.00
_symmetry_space_group_name_H-M 'C 1 m 1'
_symmetry_Int_Tables_number 8
loop_
_symmetry_equiv_pos_as_xyz
'x,y,z'
'x,-y,z'
'x+1/2,y+1/2,z'
'x+1/2,-y+1/2,z'
loop_
_atom_site_label
_atom_site_type_symbol
_atom_site_fract_x
_atom_site_fract_y
_atom_site_fract_z
Pa1 Pa 0.000 0.000 0.000
Al1 Al 0.031 0.500 0.476
Al2 Al 0.196 0.500 0.816
Al3 Al 0.333 0.500 0.497
O1 O 0.003 0.000 0.472
O2 O 0.032 0.500 0.793
O3 O 0.035 0.500 0.185
O4 O 0.178 0.000 0.914
O5 O 0.183 0.500 0.537
O6 O 0.348 0.500 0.798
O7 O 0.354 0.500 0.218
O8 O 0.363 0.000 0.490
```

Values from the calculation:
Formation energy without anion corrections   -2.6642 eV per atom
N(E_F)   0.264 states/eV/atom
E_tot   -7.697 eV/atom

***

DFT (PBE) results for a geometry-optimized Al2AsP structure.

Geometry as CIF:
```
data_Al2AsP
_chemical_formula_sum 'Al8 As4 P4'
_cell_length_a 5.619
_cell_length_b 5.619
_cell_length_c 11.223
_cell_angle_alpha 90.00
_cell_angle_beta 90.00
_cell_angle_gamma 90.00
_symmetry_space_group_name_H-M 'I -4 2 d'
_symmetry_Int_Tables_number 122
_symmetry_space_group_name_Hall 'I -4 2bw'
loop_
_atom_site_label
_atom_site_type_symbol
_atom_site_fract_x
_atom_site_fract_y
_atom_site_fract_z
Al1 Al 0.237 0.250 0.125
As1 As 0.000 0.000 0.500
P1 P 0.000 0.000 0.000
```

Values from the calculation:
Formation energy   -548 meV/atom
ΔE to the lowest computed polymorph   0 kJ/mol of formula units
N(E_F)   0.000 states/eV/atom
E_tot   -4.934 eV/atom

***

DFT (PBE) results for a geometry-optimized ErAlIr structure.

Geometry as CIF:
```
data_ErAlIr
_chemical_formula_sum 'Er1 Al1 Ir1'
_cell_length_a 4.3002
_cell_length_b 4.3002
_cell_length_c 3.7256
_cell_angle_alpha 90.00
_cell_angle_beta 90.00
_cell_angle_gamma 120.00
_symmetry_space_group_name_H-M 'P -6 m 2'
_symmetry_Int_Tables_number 187
_symmetry_space_group_name_Hall 'P -6 2'
loop_
_atom_site_label
_atom_site_type_symbol
_atom_site_fract_x
_atom_site_fract_y
_atom_site_fract_z
Er1 Er 0.0000 0.0000 0.0000
Al1 Al 0.3333 0.6667 0.5000
Ir1 Ir 0.6667 0.3333 0.5000
```

Values from the calculation:
Formation energy   -763 meV/atom
N(E_F)   0.885 states/eV/atom
E_tot   -6.485 eV/atom

***

DFT (PBE) results for a geometry-optimized Rb2Tl5Pt3 structure.

Geometry as CIF:
```
data_Rb2Tl5Pt3
_chemical_formula_sum 'Rb4 Tl10 Pt6'
_cell_length_a 7.084
_cell_length_b 9.977
_cell_length_c 10.066
_cell_angle_alpha 98.68
_cell_angle_beta 110.59
_cell_angle_gamma 110.72
_symmetry_space_group_name_H-M 'P -1'
_symmetry_Int_Tables_number 2
loop_
_symmetry_equiv_pos_as_xyz
'x,y,z'
'-x,-y,-z'
loop_
_atom_site_label
_atom_site_type_symbol
_atom_site_fract_x
_atom_site_fract_y
_atom_site_fract_z
Rb1 Rb 0.239 0.356 0.123
Rb2 Rb 0.258 0.890 0.627
Tl1 Tl 0.141 0.017 0.264
Tl2 Tl 0.234 0.718 0.251
Tl3 Tl 0.245 0.500 0.500
Tl4 Tl 0.268 0.283 0.751
Tl5 Tl 0.385 0.794 0.974
Pt1 Pt 0.130 0.516 0.745
Pt2 Pt 0.198 0.000 0.000
Pt3 Pt 0.391 0.269 0.514
```

Values from the calculation:
Formation energy   -126 meV/atom
N(E_F)   0.407 states/eV/atom
E_tot   -3.315 eV/atom

***

- N(E_F) of number 3 (PmSmErZn)?
  1.222 states/eV/atom

***

- Which of these has the lowest N(E_F)?
  Al2AsP

***

- The highest E_tot belongs to which entry?
  GdHg4Bi